[1]
## Nb3OsRh2 (PBE)

Data for a relaxed structure of Nb3OsRh2.

## Properties
The value obtained for the formation energy is -0.2989 eV/atom. As for the total energy: -57.9 eV/cell. The calculation puts the density at 11.57 g/cm³. As for the total magnetic moment: 0.000 Bohr magnetons per cell. The space group is No. 65. As for the volume: 96.9 Å³/f.u.

Cell lengths 3.7808, 4.1596, 6.5010 Å; angles 108.66, 90.00, 90.00 degrees
Last column: nearest neighbours and their distance in Å.
Positions (direct):
Nb (0.5000, 0.5000, 0.0000)  4 Os 2.81, 4 Rh 2.82, 4 Nb 2.91
Nb (0.5000, 0.8353, 0.6707)  2 Os 2.77, 6 Rh 2.78-2.81, 4 Nb 2.91-2.96
Nb (0.5000, 0.1647, 0.3293)  2 Os 2.77, 6 Rh 2.78-2.81, 4 Nb 2.91-2.96
Rh (0.0000, 0.6696, 0.3391)  8 Nb 2.78-2.82, 2 Rh 2.87, 2 Os 2.95
Rh (0.0000, 0.3304, 0.6609)  8 Nb 2.78-2.82, 2 Rh 2.87, 2 Os 2.95
Os (0.0000, 0.0000, 0.0000)  8 Nb 2.77-2.81, 4 Rh 2.95

---

[2]
## Cs4HfS4 (PBE)

Data for a relaxed structure of Cs4HfS4.

## Properties
Its uncorrected formation energy is -1.370 eV per atom. As for the total energy: -42.2 eV/cell. The calculation puts the density at 3.85 g/cm³. As for the total magnetic moment: 0.000 Bohr magnetons per cell. The space group is No. 121. As for the volume: 361.7 Å³/f.u.

Cell lengths 7.2019, 8.6348, 7.2019 Å; angles 65.35, 90.00, 114.65 degrees
Last column: nearest neighbours and their distance in Å.
Positions (direct):
Cs (0.5510, 0.7122, 0.8388)  6 S 3.55-3.77, 1 Hf 3.70, 1 Cs 3.97
Cs (0.8388, 0.2878, 0.1612)  6 S 3.55-3.77, 1 Hf 3.70, 1 Cs 3.97
Cs (0.1612, 0.7122, 0.4490)  6 S 3.55-3.77, 1 Hf 3.70, 1 Cs 3.97
Cs (0.4490, 0.2878, 0.5510)  6 S 3.55-3.77, 1 Hf 3.70, 1 Cs 3.97
S (0.2926, 0.2028, 0.0899)  1 Hf 2.41
S (0.9101, 0.2028, 0.7074)  1 Hf 2.41
S (0.0899, 0.7972, 0.9101)  1 Hf 2.41
S (0.7074, 0.7972, 0.2926)  1 Hf 2.41
Hf (0.0000, 0.0000, 0.0000)  4 S 2.41

---

[3]
## Cs3RhCl6 (PBE)

Data for a relaxed structure of Cs3RhCl6.

## Properties
Its uncorrected formation energy is -1.454 eV per atom. As for the total energy: -71.1 eV/cell. The calculation puts the density at 3.37 g/cm³. As for the total magnetic moment: 0.326 Bohr magnetons per cell. The space group is No. 14. As for the volume: 352.4 Å³/f.u.

Cell lengths 7.8776, 7.9744, 11.2232 Å; angles 91.55, 90.00, 90.00 degrees
Last column: nearest neighbours and their distance in Å.
Positions (direct):
Cl (0.3245, 0.2626, 0.4586)  1 Rh 2.38
Cl (0.1755, 0.7626, 0.9586)  1 Rh 2.38
Cl (0.7546, 0.8317, 0.9646)  1 Rh 2.38
Cl (0.0044, 0.0694, 0.7951)  1 Rh 2.38
Cl (0.5044, 0.4306, 0.7049)  1 Rh 2.38
Cl (0.9956, 0.9306, 0.2049)  1 Rh 2.38
Cl (0.2454, 0.1683, 0.0354)  1 Rh 2.38
Cl (0.4956, 0.5694, 0.2951)  1 Rh 2.38
Cl (0.2546, 0.6683, 0.5354)  1 Rh 2.38
Cl (0.7454, 0.3317, 0.4646)  1 Rh 2.38
Cl (0.8245, 0.2374, 0.0414)  1 Rh 2.38
Cl (0.6755, 0.7374, 0.5414)  1 Rh 2.38
Cs (0.5453, 0.0102, 0.2431)  7 Cl 3.56-3.86
Cs (0.0000, 0.0000, 0.5000)  6 Cl 3.34-3.35
Cs (0.4547, 0.9898, 0.7569)  7 Cl 3.56-3.86
Cs (0.0453, 0.4898, 0.2569)  7 Cl 3.56-3.86
Cs (0.9547, 0.5102, 0.7431)  7 Cl 3.56-3.86
Cs (0.5000, 0.5000, 0.0000)  6 Cl 3.34-3.35
Rh (0.0000, 0.0000, 0.0000)  6 Cl 2.38
Rh (0.5000, 0.5000, 0.5000)  6 Cl 2.38

---

[4]
## Al5In3F12 (PBE)

Data for a relaxed structure of Al5In3F12.

## Properties
Its uncorrected formation energy is -2.321 eV per atom. As for the total energy: -383.2 eV/cell. The calculation puts the density at 2.76 g/cm³. As for the total magnetic moment: 0.000 Bohr magnetons per cell. The space group is No. 230. As for the volume: 425.0 Å³/f.u.

Cell lengths 13.0229, 13.0229, 13.0229 Å; angles 109.47, 109.47, 109.47 degrees
Last column: nearest neighbours and their distance in Å.
Positions (direct):
F (0.3946, 0.3716, 0.0965)  1 Al 1.70
F (0.8946, 0.5965, 0.8716)  1 Al 1.70
F (0.5230, 0.7249, 0.1284)  1 Al 1.70
F (0.7980, 0.2751, 0.9035)  1 Al 1.70
F (0.5965, 0.8946, 0.3716)  1 Al 1.70
F (0.9035, 0.7751, 0.7980)  1 Al 1.70
F (0.4770, 0.2751, 0.8716)  1 Al 1.70
F (0.1284, 0.9035, 0.1054)  1 Al 1.70
F (0.6284, 0.6054, 0.4035)  1 Al 1.70
F (0.2751, 0.4770, 0.3716)  1 Al 1.70
F (0.4035, 0.1054, 0.6284)  1 Al 1.70
F (0.2249, 0.0965, 0.7020)  1 Al 1.70
F (0.4770, 0.2020, 0.1054)  1 Al 1.70
F (0.1284, 0.2249, 0.5230)  1 Al 1.70
F (0.5230, 0.7980, 0.8946)  1 Al 1.70
F (0.2020, 0.7249, 0.0965)  1 Al 1.70
F (0.9770, 0.6054, 0.7020)  1 Al 1.70
F (0.2020, 0.4770, 0.6054)  1 Al 1.70
F (0.7751, 0.9035, 0.2980)  1 Al 1.70
F (0.2249, 0.1284, 0.0230)  1 Al 1.70
F (0.7020, 0.1054, 0.9770)  1 Al 1.70
F (0.2751, 0.7980, 0.4035)  1 Al 1.70
F (0.9035, 0.1284, 0.6054)  1 Al 1.70
F (0.7249, 0.5230, 0.6284)  1 Al 1.70
F (0.8716, 0.7751, 0.4770)  1 Al 1.70
F (0.0230, 0.6284, 0.2249)  1 Al 1.70
F (0.6054, 0.6284, 0.9035)  1 Al 1.70
F (0.0965, 0.8716, 0.3946)  1 Al 1.70
F (0.3716, 0.9770, 0.2751)  1 Al 1.70
F (0.4035, 0.2980, 0.2751)  1 Al 1.70
F (0.8946, 0.2980, 0.5230)  1 Al 1.70
F (0.7980, 0.5230, 0.3946)  1 Al 1.70
F (0.8716, 0.0965, 0.8946)  1 Al 1.70
F (0.6054, 0.9770, 0.2020)  1 Al 1.70
F (0.9770, 0.3716, 0.7751)  1 Al 1.70
F (0.7020, 0.5965, 0.2249)  1 Al 1.70
F (0.0230, 0.3946, 0.2980)  1 Al 1.70
F (0.2980, 0.8946, 0.0230)  1 Al 1.70
F (0.2980, 0.4035, 0.7751)  1 Al 1.70
F (0.7249, 0.2020, 0.5965)  1 Al 1.70
F (0.6284, 0.0230, 0.7249)  1 Al 1.70
F (0.1054, 0.7020, 0.4770)  1 Al 1.70
F (0.3716, 0.3946, 0.5965)  1 Al 1.70
F (0.0965, 0.2249, 0.2020)  1 Al 1.70
F (0.3946, 0.0230, 0.7980)  1 Al 1.70
F (0.5965, 0.7020, 0.7249)  1 Al 1.70
F (0.1054, 0.4035, 0.1284)  1 Al 1.70
F (0.7751, 0.8716, 0.9770)  1 Al 1.70
Al (0.8750, 0.6250, 0.7500)  4 F 1.70
Al (0.0000, 0.5000, 0.0000)  6 F 2.70
Al (0.1250, 0.3750, 0.2500)  4 F 1.70
Al (0.7500, 0.1250, 0.8750)  4 F 1.70
Al (0.1250, 0.7500, 0.3750)  4 F 1.70
Al (0.2500, 0.8750, 0.1250)  4 F 1.70
Al (0.5000, 0.5000, 0.0000)  6 F 2.70
Al (0.7500, 0.6250, 0.3750)  4 F 1.70
Al (0.0000, 0.0000, 0.0000)  6 F 2.70
Al (0.6250, 0.8750, 0.2500)  4 F 1.70
Al (0.8750, 0.2500, 0.6250)  4 F 1.70
Al (0.0000, 0.0000, 0.5000)  6 F 2.70
Al (0.5000, 0.0000, 0.0000)  6 F 2.70
Al (0.3750, 0.2500, 0.1250)  4 F 1.70
Al (0.2500, 0.3750, 0.6250)  4 F 1.70
Al (0.6250, 0.7500, 0.8750)  4 F 1.70
Al (0.3750, 0.1250, 0.7500)  4 F 1.70
Al (0.0000, 0.5000, 0.5000)  6 F 2.70
Al (0.5000, 0.5000, 0.5000)  6 F 2.70
Al (0.5000, 0.0000, 0.5000)  6 F 2.70
In (0.7500, 0.8750, 0.6250)  8 F 3.11-3.38
In (0.8750, 0.7500, 0.1250)  8 F 3.11-3.38
In (0.6250, 0.3750, 0.7500)  8 F 3.11-3.38
In (0.7500, 0.3750, 0.1250)  8 F 3.11-3.38
In (0.2500, 0.1250, 0.3750)  8 F 3.11-3.38
In (0.1250, 0.2500, 0.8750)  8 F 3.11-3.38
In (0.3750, 0.6250, 0.2500)  8 F 3.11-3.38
In (0.1250, 0.8750, 0.7500)  8 F 3.11-3.38
In (0.6250, 0.2500, 0.3750)  8 F 3.11-3.38
In (0.3750, 0.7500, 0.6250)  8 F 3.11-3.38
In (0.8750, 0.1250, 0.2500)  8 F 3.11-3.38
In (0.2500, 0.6250, 0.8750)  8 F 3.11-3.38

---

[5]
## ZnCuP2 (PBE)

Data for a relaxed structure of ZnCuP2.

## Properties
The value obtained for the formation energy is 0.2196 eV/atom. As for the total energy: -15.3 eV/cell. The calculation puts the density at 5.19 g/cm³. As for the total magnetic moment: 0.000 Bohr magnetons per cell. The space group is No. 12. As for the volume: 61.0 Å³/f.u.

Cell lengths 4.5519, 4.2798, 4.0994 Å; angles 72.21, 70.98, 112.07 degrees
Last column: nearest neighbours and their distance in Å.
Positions (direct):
Zn (0.0000, 0.5000, 0.5000)  4 P 2.47, 2 Cu 2.52
Cu (0.5000, 0.5000, 0.0000)  4 P 2.47, 2 Zn 2.52
P (0.0000, 0.0000, 0.0000)  2 Cu 2.47, 2 Zn 2.47, 2 P 2.52
P (0.5000, 0.0000, 0.5000)  2 Zn 2.47, 2 Cu 2.47, 2 P 2.52

---

[6]
## Hf2In2F (PBE)

Data for a relaxed structure of Hf2In2F.

## Properties
Its uncorrected formation energy is -0.784 eV per atom. As for the total energy: -62.4 eV/cell. The calculation puts the density at 10.06 g/cm³. As for the total magnetic moment: 0.000 Bohr magnetons per cell. The space group is No. 127. As for the volume: 100.0 Å³/f.u.

Cell lengths 6.2016, 6.2016, 5.1988 Å; angles 90.00, 90.00, 90.00 degrees
Last column: nearest neighbours and their distance in Å.
Positions (direct):
Hf (0.1655, 0.3345, 0.0000)  2 F 2.31
Hf (0.6655, 0.1655, 0.0000)  2 F 2.31
Hf (0.8345, 0.6655, 0.0000)  2 F 2.31
Hf (0.3345, 0.8345, 0.0000)  2 F 2.31
F (0.5000, 0.5000, 0.0000)  4 Hf 2.31
F (0.0000, 0.0000, 0.0000)  4 Hf 2.31
In (0.1697, 0.6697, 0.5000)  6 Hf 2.97-3.33, 5 In 2.98-3.26
In (0.6697, 0.8303, 0.5000)  6 Hf 2.97-3.33, 5 In 2.98-3.26
In (0.8303, 0.3303, 0.5000)  6 Hf 2.97-3.33, 5 In 2.98-3.26
In (0.3303, 0.1697, 0.5000)  6 Hf 2.97-3.33, 5 In 2.98-3.26

---

[7]
## Ce8TlOs6 (PBE)

Data for a relaxed structure of Ce8TlOs6.

## Properties
The value obtained for the formation energy is -0.0976 eV/atom. As for the total energy: -118.7 eV/cell. The calculation puts the density at 11.20 g/cm³. As for the total magnetic moment: 0.000 Bohr magnetons per cell. The space group is No. 147. As for the volume: 365.6 Å³/f.u.

Cell lengths 4.0737, 10.1796, 10.1796 Å; angles 120.00, 90.00, 90.00 degrees
Last column: nearest neighbours and their distance in Å.
Positions (direct):
Ce (0.2410, 0.3294, 0.0537)  4 Os 2.70-2.90
Ce (0.2539, 0.3333, 0.6667)  6 Os 3.03-3.07
Ce (0.2410, 0.9463, 0.2757)  4 Os 2.70-2.90
Ce (0.7590, 0.0537, 0.7243)  4 Os 2.70-2.90
Ce (0.7461, 0.6667, 0.3333)  6 Os 3.03-3.07
Ce (0.2410, 0.7243, 0.6706)  4 Os 2.70-2.90
Ce (0.7590, 0.6706, 0.9463)  4 Os 2.70-2.90
Ce (0.7590, 0.2757, 0.3294)  4 Os 2.70-2.90
Os (0.2537, 0.6180, 0.0904)  4 Ce 2.70-2.90, 2 Os 2.96-3.00
Os (0.7463, 0.3820, 0.9096)  4 Ce 2.70-2.90, 2 Os 2.96-3.00
Os (0.2537, 0.9096, 0.5276)  4 Ce 2.70-2.90, 2 Os 2.96-3.00
Os (0.7463, 0.5276, 0.6180)  4 Ce 2.70-2.90, 2 Os 2.96-3.00
Os (0.2537, 0.4724, 0.3820)  4 Ce 2.70-2.90, 2 Os 2.96-3.00
Os (0.7463, 0.0904, 0.4724)  4 Ce 2.70-2.90, 2 Os 2.96-3.00
Tl (0.5000, 0.0000, 0.0000)  6 Ce 3.29

---

[8]
## ReRu2Pb (PBE)

Data for a relaxed structure of ReRu2Pb.

## Properties
The value obtained for the formation energy is 0.4795 eV/atom. As for the total energy: -32.8 eV/cell. The calculation puts the density at 14.82 g/cm³. As for the total magnetic moment: 0.000 Bohr magnetons per cell. The space group is No. 10. As for the volume: 66.7 Å³/f.u.

Cell lengths 3.7306, 2.8991, 6.8409 Å; angles 64.42, 90.00, 90.00 degrees
Last column: nearest neighbours and their distance in Å.
Positions (direct):
Pb (0.5000, 0.2500, 0.2500)  2 Pb 2.90, 8 Ru 2.93-2.95, 2 Re 3.09
Ru (0.0000, 0.0323, 0.9654)  3 Ru 2.66-2.90, 4 Re 2.71, 4 Pb 2.93-2.95
Ru (0.0000, 0.4677, 0.5346)  3 Ru 2.66-2.90, 4 Re 2.71, 4 Pb 2.93-2.95
Re (0.5000, 0.7500, 0.7500)  8 Ru 2.71, 2 Re 2.90